No. 1
! YTmB | OQMD via LeMat-Bulk | PBE | relaxed; values from VASP
&SYSTEM
  ibrav = 0, nat = 3, ntyp = 3
/
ATOMIC_SPECIES
Y 88.91 Y.upf
Tm 168.93 Tm.upf
B 10.81 B.upf
CELL_PARAMETERS angstrom
0.0000 3.1849 3.1849
3.1849 0.0000 3.1849
3.1849 3.1849 0.0000
ATOMIC_POSITIONS crystal
Y 0.7500 0.7500 0.7500
Tm 0.2500 0.2500 0.2500
B 0.0000 0.0000 0.0000
! space group: F-43m
! crystal system: cubic



No. 2
! TmZnB | OQMD via LeMat-Bulk | PBE | relaxed; values from VASP
&SYSTEM
  ibrav = 0, nat = 3, ntyp = 3
/
ATOMIC_SPECIES
Zn 65.41 Zn.upf
B 10.81 B.upf
Tm 168.93 Tm.upf
CELL_PARAMETERS angstrom
0.0000 2.9011 2.9011
2.9011 0.0000 2.9011
2.9011 2.9011 0.0000
ATOMIC_POSITIONS crystal
Zn 0.7500 0.7500 0.7500
B 0.0000 0.0000 0.0000
Tm 0.2500 0.2500 0.2500
! space group: F-43m
! crystal system: cubic



No. 3
! TmZnB | OQMD via LeMat-Bulk | PBE | relaxed; values from VASP
&SYSTEM
  ibrav = 0, nat = 3, ntyp = 3
/
ATOMIC_SPECIES
Zn 65.41 Zn.upf
B 10.81 B.upf
Tm 168.93 Tm.upf
CELL_PARAMETERS angstrom
0.0000 2.9390 2.9390
2.9390 0.0000 2.9390
2.9390 2.9390 0.0000
ATOMIC_POSITIONS crystal
Zn 0.0000 0.0000 0.0000
B 0.2500 0.2500 0.2500
Tm 0.7500 0.7500 0.7500
! space group: F-43m
! crystal system: cubic



No. 4
! TmZnB | OQMD via LeMat-Bulk | PBE | relaxed; values from VASP
&SYSTEM
  ibrav = 0, nat = 3, ntyp = 3
/
ATOMIC_SPECIES
B 10.81 B.upf
Zn 65.41 Zn.upf
Tm 168.93 Tm.upf
CELL_PARAMETERS angstrom
0.0000 3.0672 3.0672
3.0672 0.0000 3.0672
3.0672 3.0672 0.0000
ATOMIC_POSITIONS crystal
B 0.2500 0.2500 0.2500
Zn 0.7500 0.7500 0.7500
Tm 0.0000 0.0000 0.0000
! space group: F-43m
! crystal system: cubic



No. 5
! UB2 | OQMD via LeMat-Bulk | PBE | relaxed; values from VASP
&SYSTEM
  ibrav = 0, nat = 6, ntyp = 2
/
ATOMIC_SPECIES
B 10.81 B.upf
U 238.03 U.upf
CELL_PARAMETERS angstrom
-2.6690 6.0133 3.1957
4.5483 4.8339 3.0727
1.0170 6.5465 -3.0992
ATOMIC_POSITIONS crystal
B 0.3750 0.3750 0.8750
B 0.3750 0.8750 0.3750
B 0.3750 0.3750 0.3750
B 0.8750 0.3750 0.3750
U 0.2500 0.2500 0.2500
U 0.5000 0.5000 0.5000
! space group: Fd-3m
! crystal system: cubic



No. 6
! UB2 | OQMD via LeMat-Bulk | PBE | relaxed; values from VASP
&SYSTEM
  ibrav = 0, nat = 3, ntyp = 2
/
ATOMIC_SPECIES
B 10.81 B.upf
U 238.03 U.upf
CELL_PARAMETERS angstrom
3.0790 0.0000 0.0000
-1.5395 2.6665 0.0000
0.0000 0.0000 4.0151
ATOMIC_POSITIONS crystal
B 0.3334 0.6667 0.5000
B 0.6667 0.3334 0.5000
U 0.0000 0.0000 0.0000
! space group: P6/mmm
! crystal system: hexagonal



Magnetic moment in μB per cell, matching the order above: 0.01; 0.00; 0.00; 0.00; 2.02; 0.02
Energy in eV for the cell shown, matching the order above: -17.48; -13.06; -11.37; -10.19; -32.64; -26.40